This record from the Alexandria database describes a geometry-optimized ZrCoNF2 structure. The functional is PBE with a Hubbard U.

The structure in POSCAR format:
```
ZrCoNF2
1.0
-0.729 4.019 0.979
-1.112 -1.148 3.884
4.028 0.419 1.277
Zr F Co N
1 2 1 1
direct
0.000 0.000 0.000
0.500 0.000 0.000
0.000 0.500 0.000
0.500 0.500 0.500
0.000 0.000 0.500
```

Output
Calculated density in Mg/m³: 4.48
M_tot in μB/cell: 2.05
Space group: No. 123
Polymorph energy (0 for the lowest one) in kJ/mol of atoms: 0.0